LiTiBi2Te (PBE, optimized geometry); crystal system = tetragonal; DFT total energy = -18.42 eV per cell; total moment = 0.1 μB per cell; space-group type = P4/mmm; uncorrected formation energy = 0.46 eV per atom
1.0
5.0056 0.0000 0.0000
0.0000 5.0056 0.0000
0.0000 0.0000 5.1413
Li Ti Bi Te
1 1 2 1
Direct
0.0000 0.0000 0.0000
0.0000 0.0000 0.5000
0.0000 0.5000 0.0000
0.5000 0.0000 0.0000
0.5000 0.5000 0.5000